[1]
Here is an optimized crystal structure of Ni3Pt7Rh2 from Alexandria. Energies are from GGA-PBE.

Structure (POSCAR):
```
Ni3Pt7Rh2
1.0
-3.1895 -1.7205 -2.7882
-3.0931 -1.9687 2.5611
-2.2635 11.0092 3.3997
Ni Pt Rh
3 7 2
Direct
0.5000 0.5000 0.0000
0.2274 0.5033 0.7323
0.7726 0.4967 0.2677
0.6393 0.9981 0.1365
0.8947 0.9959 0.3879
0.0000 0.0000 0.0000
0.3607 0.0019 0.8635
0.8541 0.5021 0.8567
0.1459 0.4979 0.1433
0.1053 0.0041 0.6121
0.2778 0.9964 0.2730
0.7222 0.0036 0.7270
```

- V (A^3/atom) = 17.5
- energy relative to the elements (eV per atom) = 0.269
- density of states at the Fermi level (states/eV/f.u.) = 18.69



[2]
Here is an optimized crystal structure of CdCuP2O8 from Alexandria. Energies are from GGA-PBE.

Structure (POSCAR):
```
CdCuP2O8
1.0
4.6539 0.0000 0.0000
2.3270 4.0304 0.0000
2.3269 1.3434 7.1681
Cd Cu P O
1 1 2 8
Direct
0.5000 0.5000 0.5000
0.0000 0.0000 0.0000
0.2561 0.2561 0.2317
0.7439 0.7439 0.7683
0.1838 0.1838 0.4486
0.6000 0.2693 0.1684
0.8162 0.8162 0.5514
0.9624 0.6000 0.1684
0.0376 0.4000 0.8316
0.2693 0.9624 0.1684
0.7307 0.0376 0.8316
0.4000 0.7307 0.8316
```

- V (A^3/atom) = 11.2
- ΔE_f (raw) (eV/atom) = -1.36
- density of states at the Fermi level (states/eV/f.u.) = 4.58



[3]
Here is an optimized crystal structure of K3Bi3Pd2 from Alexandria. Energies are from GGA-PBE.

Structure (POSCAR):
```
K3Bi3Pd2
1.0
4.8574 0.0000 0.0000
-2.4287 6.2620 0.0000
0.0000 0.0000 17.6716
K Bi Pd
6 6 4
Direct
0.9628 0.9255 0.3884
0.0372 0.0745 0.8884
0.9628 0.9255 0.1116
0.0372 0.0745 0.6116
0.6458 0.2916 0.2500
0.3542 0.7084 0.7500
0.6841 0.3682 0.4543
0.3159 0.6318 0.9543
0.6841 0.3682 0.0457
0.3159 0.6318 0.5457
0.3448 0.6895 0.2500
0.6552 0.3105 0.7500
0.7408 0.4817 0.8932
0.2592 0.5183 0.3932
0.7408 0.4817 0.6068
0.2592 0.5183 0.1068
```

- V (A^3/atom) = 33.6
- energy relative to the elements (eV per atom) = -0.311
- excess energy over the best structure of this formula in the dataset (eV per atom) = 0.000
- density of states at the Fermi level (states/eV/f.u.) = 4.37



[4]
Here is an optimized crystal structure of ReHI2 from Alexandria. Energies are from GGA-PBE.

Structure (POSCAR):
```
ReHI2
1.0
0.0000 3.3113 3.3113
3.3113 0.0000 3.3113
3.3113 3.3113 0.0000
I Re H
2 1 1
Direct
0.2500 0.2500 0.2500
0.7500 0.7500 0.7500
0.5000 0.5000 0.5000
0.0000 0.0000 0.0000
```

- V (A^3/atom) = 18.2
- excess energy over the best structure of this formula in the dataset (eV per atom) = 0.143
- density of states at the Fermi level (states/eV/f.u.) = 0.62



[5]
Here is an optimized crystal structure of NaY2In from Alexandria. Energies are from GGA-PBE.

Structure (POSCAR):
```
NaY2In
1.0
3.6006 0.0000 0.0000
0.0000 3.6006 0.0000
0.0000 0.0000 9.3556
Y Na In
2 1 1
Direct
0.0000 0.0000 0.7874
0.0000 0.0000 0.2126
0.5000 0.5000 0.5000
0.5000 0.5000 0.0000
```

- V (A^3/atom) = 30.3
- energy relative to the elements (eV per atom) = -0.098
- density of states at the Fermi level (states/eV/f.u.) = 3.56



[6]
Here is an optimized crystal structure of LaSb4Br from Alexandria. Energies are from GGA-PBE.

Structure (POSCAR):
```
LaSb4Br
1.0
0.0000 4.4483 4.4483
4.4483 0.0000 4.4483
4.4483 4.4483 0.0000
La Sb Br
1 4 1
Direct
0.0000 0.0000 0.0000
0.8743 0.3752 0.3752
0.3752 0.3752 0.8743
0.3752 0.8743 0.3752
0.3752 0.3752 0.3752
0.7500 0.7500 0.7500
```

- V (A^3/atom) = 29.3
- ΔE_f (raw) (eV/atom) = -0.41
- density of states at the Fermi level (states/eV/f.u.) = 2.63